Arrangement 1

VASP calculation (SCAN) on a PBEsol-optimized structure of ReHg2Os.

Cell and atoms, written as CIF:
```
data_ReHg2Os
_space_group_name_H-M_alt 'P m m m'
_space_group_IT_number 47
_cell_length_a 2.845
_cell_length_b 4.862
_cell_length_c 4.890
_cell_angle_alpha 90.00
_cell_angle_beta 90.00
_cell_angle_gamma 90.00
loop_
_space_group_symop_operation_xyz
'x,y,z'
'-x,-y,-z'
'-x,-y,z'
'x,y,-z'
'x,-y,-z'
'-x,y,z'
'-x,y,-z'
'x,-y,z'
loop_
_atom_site_label
_atom_site_type_symbol
_atom_site_fract_x
_atom_site_fract_y
_atom_site_fract_z
_atom_site_occupancy
Re1 Re 0.000 0.000 0.000 1
Hg1 Hg 0.000 0.500 0.500 1
Hg2 Hg 0.500 0.000 0.500 1
Os1 Os 0.500 0.500 0.000 1
```

## Properties
Its volume is 16.911 A^3/atom. For the density of states at the Fermi level, the calculation gives 0.5941 states/eV per atom.



Arrangement 2

VASP calculation (SCAN) on a PBEsol-optimized structure of ReHg2Os.

Cell and atoms, written as CIF:
```
data_ReHg2Os
_space_group_name_H-M_alt 'I -4 m 2'
_space_group_IT_number 119
_space_group_name_Hall 'I -4 -2'
_cell_length_a 4.165
_cell_length_b 4.165
_cell_length_c 7.672
_cell_angle_alpha 90.00
_cell_angle_beta 90.00
_cell_angle_gamma 90.00
loop_
_atom_site_label
_atom_site_type_symbol
_atom_site_fract_x
_atom_site_fract_y
_atom_site_fract_z
_atom_site_occupancy
Re1 Re 0.000 0.000 0.000 1
Hg1 Hg 0.000 0.000 0.500 1
Hg2 Hg 0.000 0.500 0.250 1
Os1 Os 0.000 0.500 0.750 1
```

## Properties
Its volume is 16.637 A^3/atom. For the density of states at the Fermi level, the calculation gives 0.5081 states/eV per atom.



Which structure is the most stable? The one labeled arrangement 1.



Arrangement 1

VASP calculation (SCAN) on a PBEsol-optimized structure of Hg2OsRu.

Cell and atoms, written as CIF:
```
data_Hg2OsRu
_space_group_name_H-M_alt 'P 1 2/m 1'
_space_group_IT_number 10
_cell_length_a 2.819
_cell_length_b 4.786
_cell_length_c 4.944
_cell_angle_alpha 90.00
_cell_angle_beta 90.85
_cell_angle_gamma 90.00
loop_
_space_group_symop_operation_xyz
'x,y,z'
'-x,-y,-z'
'-x,y,-z'
'x,-y,z'
loop_
_atom_site_label
_atom_site_type_symbol
_atom_site_fract_x
_atom_site_fract_y
_atom_site_fract_z
_atom_site_occupancy
Hg1 Hg 0.247 0.000 0.249 1
Os1 Os 0.000 0.500 0.500 1
Ru1 Ru 0.500 0.500 0.000 1
```

## Properties
Its volume is 16.675 A^3/atom. For the density of states at the Fermi level, the calculation gives 0.5938 states/eV per atom.



Arrangement 2

VASP calculation (SCAN) on a PBEsol-optimized structure of Hg2OsRu.

Cell and atoms, written as CIF:
```
data_Hg2OsRu
_space_group_name_H-M_alt 'P m m m'
_space_group_IT_number 47
_cell_length_a 2.820
_cell_length_b 4.093
_cell_length_c 5.764
_cell_angle_alpha 90.00
_cell_angle_beta 90.00
_cell_angle_gamma 90.00
loop_
_space_group_symop_operation_xyz
'x,y,z'
'-x,-y,-z'
'-x,-y,z'
'x,y,-z'
'x,-y,-z'
'-x,y,z'
'-x,y,-z'
'x,-y,z'
loop_
_atom_site_label
_atom_site_type_symbol
_atom_site_fract_x
_atom_site_fract_y
_atom_site_fract_z
_atom_site_occupancy
Hg1 Hg 0.000 0.000 0.249 1
Os1 Os 0.500 0.500 0.500 1
Ru1 Ru 0.500 0.500 0.000 1
```

## Properties
Its volume is 16.633 A^3/atom. For the density of states at the Fermi level, the calculation gives 0.5273 states/eV per atom.



Which structure is the most stable? The one labeled arrangement 1.